[1]
Compound: Rb2NaNiI6
Source: Alexandria via LeMat-Bulk
Functional: PBE-GGA
Structure: relaxed

## Properties
- V (A^3/atom) = 39.628
- ΔE_f (raw) (meV per atom) = -792.7
- space-group type = Fm-3m, No. 225
- N(E_F) (states/eV per atom) = 0.250

a = 8.2446 Å, b = 8.2446 Å, c = 8.2446 Å
α = 60.00°, β = 60.00°, γ = 60.00°
Atoms (fractional coordinates):
Rb1 0.2500 0.2500 0.2500
Rb2 0.7500 0.7500 0.7500
Na1 0.0000 0.0000 0.0000
Ni1 0.5000 0.5000 0.5000
I1 0.2692 0.2692 0.7308
I2 0.2692 0.7308 0.2692
I3 0.2692 0.7308 0.7308
I4 0.7308 0.2692 0.2692
I5 0.7308 0.2692 0.7308
I6 0.7308 0.7308 0.2692

***

[2]
Compound: CeSmGeOs
Source: Alexandria via LeMat-Bulk
Functional: PBE-GGA
Structure: relaxed

## Properties
- V (A^3/atom) = 23.267
- formation enthalpy at 0 K (eV per formula unit) = -2.092
- space-group type = Amm2, No. 38
- N(E_F) (states/eV per atom) = 0.803

a = 3.9294 Å, b = 4.1291 Å, c = 11.4726 Å
α = 90.00°, β = 90.00°, γ = 90.00°
Atoms (fractional coordinates):
Ce1 0.0000 0.0000 0.0000
Ce2 0.0000 0.5000 0.5000
Sm1 0.5000 0.0000 0.2758
Sm2 0.5000 0.5000 0.7758
Ge1 0.0000 0.0000 0.6984
Ge2 0.0000 0.5000 0.1984
Os1 0.5000 0.0000 0.5441
Os2 0.5000 0.5000 0.0441